Entry 1:
DFT (PBE) results for a relaxed structure of TlAgAsS2.

## Properties
Calculated total energy in eV/atom: -3.6181
Formation energy (no corrections) in eV/atom: 0.006

abc: 6.501 5.851 6.817
angles: 90.00 99.71 90.00
Space group P2/c (No. 13)
Unique sites:
Tl  0.000  0.213  0.250
Ag  0.500  0.000  0.000
As  0.500  0.400  0.250
S  0.278  0.336  0.900

Entry 2:
DFT (PBE) results for a relaxed structure of Hf2PaPd.

## Properties
Excess energy over the best structure of this formula in the dataset in kJ per mole of atoms: 21.38
Calculated formation energy in eV/atom: -0.055
Calculated total energy in eV/atom: -8.7037

abc: 4.510 4.510 4.165
angles: 90.00 90.00 90.00
Space group P4/mmm (No. 123)
Unique sites:
Hf  0.000  0.500  0.000
Pa  0.000  0.000  0.500
Pd  0.500  0.500  0.500

Entry 3:
DFT (PBE) results for a relaxed structure of LiHoPuIr.

## Properties
Calculated formation energy in eV/atom: -0.371
Calculated total energy in eV/atom: -7.7921

abc: 6.933 6.933 6.933
angles: 90.00 90.00 90.00
Space group F-43m (No. 216)
Unique sites:
Li  0.000  0.000  0.000
Ho  0.250  0.250  0.750
Pu  0.250  0.250  0.250
Ir  0.000  0.000  0.500

Entry 4:
DFT (PBE) results for a relaxed structure of Na3MgCd.

## Properties
Excess energy over the best structure of this formula in the dataset in kJ per mole of atoms: 10.45
Calculated formation energy in eV/atom: 0.276
Calculated total energy in eV/atom: -1.0178

abc: 5.781 5.781 5.781
angles: 90.00 90.00 90.00
Space group Pm-3m (No. 221)
Unique sites:
Na  0.000  0.000  0.500
Mg  0.500  0.500  0.500
Cd  0.000  0.000  0.000

Entry 5:
DFT (PBE) results for a relaxed structure of SiIr2Rh.

## Properties
Calculated total energy in eV/atom: -7.8748
Formation energy (no corrections) in eV/atom: -0.251

abc: 2.7903 2.7903 24.8832
angles: 90.00 90.00 120.00
Space group R3m (No. 160, hexagonal axes)
Unique sites:
Si  0.0000  0.0000  0.0000
Ir  0.0000  0.0000  0.2577
Ir  0.0000  0.0000  0.4994
Rh  0.0000  0.0000  0.7406

Entry 6:
DFT (PBE) results for a relaxed structure of SrCr2Re.

## Properties
Excess energy over the best structure of this formula in the dataset in kJ per mole of atoms: 30.37
Calculated formation energy in eV/atom: 0.984
Calculated total energy in eV/atom: -7.3606

abc: 3.042 5.084 9.751
angles: 90.00 90.00 90.00
Space group Imm2 (No. 44)
Unique sites:
Sr  0.000  0.000  0.000
Cr  0.000  0.000  0.529
Cr  0.000  0.500  0.788
Re  0.000  0.500  0.216

Entry 7:
DFT (PBE) results for a relaxed structure of Mn3Mo.

## Properties
Calculated formation energy in eV/atom: 0.168
Calculated total energy in eV/atom: -9.4169

abc: 8.2166 8.2166 2.5621
angles: 90.00 90.00 120.00
Space group R-3m (No. 166, hexagonal axes)
Unique sites:
Mn  0.0000  0.5000  0.0000
Mo  0.0000  0.0000  0.0000

Entry 8:
DFT (PBE) results for a relaxed structure of PrGdScTl.

## Properties
Calculated formation energy in eV/atom: -0.088
Calculated total energy in eV/atom: -6.9779

abc: 7.727 7.727 7.727
angles: 90.00 90.00 90.00
Space group F-43m (No. 216)
Unique sites:
Pr  0.000  0.000  0.000
Gd  0.000  0.000  0.500
Sc  0.250  0.250  0.750
Tl  0.250  0.250  0.250

Entry 9:
DFT (PBE) results for a relaxed structure of NiHN.

## Properties
Excess energy over the best structure of this formula in the dataset in kJ per mole of atoms: 68.69
Calculated total energy in eV/atom: -5.0501

abc: 2.548 6.312 6.620
angles: 90.00 90.00 90.00
Space group Fmm2 (No. 42)
Unique sites:
Ni  0.000  0.000  0.000
H  0.000  0.000  0.268
N  0.000  0.000  0.722

Entry 10:
DFT (PBE) results for a relaxed structure of TcP2Pt.

## Properties
Excess energy over the best structure of this formula in the dataset in kJ per mole of atoms: 13.79
Calculated formation energy in eV/atom: -0.252
Calculated total energy in eV/atom: -7.0590

abc: 5.325 5.325 10.588
angles: 90.00 90.00 90.00
Space group I-42d (No. 122)
Unique sites:
Tc  0.000  0.000  0.000
P  0.242  0.250  0.125
Pt  0.000  0.000  0.500

Entry 11:
DFT (PBE) results for a relaxed structure of SbTe2Au.

## Properties
Calculated total energy in eV/atom: -3.4211
Formation energy (no corrections) in eV/atom: 0.000

abc: 5.964 8.604 5.230
angles: 90.00 124.34 90.00
Space group C2/m (No. 12)
Unique sites:
Sb  0.000  0.000  0.000
Te  0.250  0.250  0.500
Au  0.000  0.500  0.000

Entry 12:
DFT (PBE) results for a relaxed structure of Zn2SbTe.

## Properties
Calculated total energy in eV/atom: -2.2867
Formation energy (no corrections) in eV/atom: 0.166

abc: 3.937 6.002 8.170
angles: 90.00 90.00 90.00
Space group Immm (No. 71)
Unique sites:
Zn  0.000  0.000  0.249
Sb  0.000  0.500  0.500
Te  0.000  0.500  0.000

Entry 13:
DFT (PBE) results for a relaxed structure of ZrAsRu3.

## Properties
Excess energy over the best structure of this formula in the dataset in kJ per mole of atoms: 0.00
Calculated formation energy in eV/atom: 0.305
Calculated total energy in eV/atom: -7.9000

abc: 4.490 4.490 4.490
angles: 90.00 90.00 90.00
Space group Pm-3m (No. 221)
Unique sites:
Zr  0.000  0.000  0.000
As  0.500  0.500  0.500
Ru  0.000  0.500  0.500

Entry 14:
DFT (PBE) results for a relaxed structure of Pm4Er9Cd11.

## Properties
Calculated formation energy in eV/atom: -0.229
Calculated total energy in eV/atom: -3.1512

abc: 16.137 22.716 3.485
angles: 90.00 90.00 90.00
Space group Cmmm (No. 65)
Unique sites:
Pm  0.168  0.082  0.000
Er  0.000  0.000  0.000
Er  0.109  0.403  0.000
Er  0.114  0.229  0.000
Cd  0.000  0.131  0.500
Cd  0.000  0.315  0.500
Cd  0.000  0.500  0.500
Cd  0.201  0.500  0.500
Cd  0.228  0.317  0.500

Entry 15:
DFT (PBE) results for a relaxed structure of AlZnRu2.

## Properties
Calculated formation energy in eV/atom: -0.158
Calculated total energy in eV/atom: -6.0499

abc: 8.389 2.808 4.902
angles: 90.00 101.63 90.00
Space group C2/m (No. 12)
Unique sites:
Al  0.000  0.000  0.000
Zn  0.000  0.500  0.500
Ru  0.244  0.500  0.246

Entry 16:
DFT (PBE) results for a relaxed structure of ScZnOs2.

## Properties
Calculated formation energy in eV/atom: 0.116
Calculated total energy in eV/atom: -7.4004

abc: 3.058 4.628 8.713
angles: 90.00 90.00 90.00
Space group Cmmm (No. 65)
Unique sites:
Sc  0.000  0.000  0.000
Zn  0.000  0.000  0.500
Os  0.000  0.500  0.254

Entry 17:
DFT (PBE) results for a relaxed structure of HfFe2GeB.

## Properties
Calculated formation energy in eV/atom: 0.926
Calculated total energy in eV/atom: -6.7085

abc: 4.432 4.432 3.836
angles: 90.00 90.00 90.00
Space group P4/mmm (No. 123)
Unique sites:
Hf  0.000  0.000  0.000
Fe  0.000  0.500  0.500
Ge  0.500  0.500  0.500
B  0.500  0.500  0.000

Entry 18:
DFT (PBE) results for a relaxed structure of NaLiMoBr6.

## Properties
Calculated total energy in eV/atom: -3.6194
Formation energy (no corrections) in eV/atom: -0.942

abc: 6.8472 6.8472 12.9039
angles: 90.00 90.00 120.00
Space group P-31c (No. 163)
Unique sites:
Na  0.0000  0.0000  0.0000
Li  0.3333  0.6667  0.2500
Mo  0.3333  0.6667  0.7500
Br  0.0186  0.3700  0.6357

Entry 19:
DFT (PBE) results for a relaxed structure of HoEr3Te.

## Properties
Calculated total energy in eV/atom: -4.5998
Formation energy (no corrections) in eV/atom: -0.318

abc: 11.996 5.733 8.968
angles: 90.00 95.62 90.00
Space group C2/m (No. 12)
Unique sites:
Ho  0.083  0.000  0.148
Er  0.059  0.500  0.340
Er  0.125  0.000  0.640
Er  0.139  0.500  0.957
Te  0.212  0.500  0.629

Entry 20:
DFT (PBE) results for a relaxed structure of Sm4CdHg5.

## Properties
Calculated formation energy in eV/atom: -0.401
Calculated total energy in eV/atom: -2.5313

abc: 3.782 3.782 18.469
angles: 90.00 90.00 90.00
Space group P4/mmm (No. 123)
Unique sites:
Sm  0.000  0.000  0.103
Sm  0.000  0.000  0.309
Cd  0.000  0.000  0.500
Hg  0.500  0.500  0.000
Hg  0.500  0.500  0.204
Hg  0.500  0.500  0.408

Entry 21:
DFT (PBE) results for a relaxed structure of Nd8GeIr3Br4.

## Properties
Calculated total energy in eV/atom: -5.8212
Formation energy (no corrections) in eV/atom: -1.069

abc: 8.4528 8.4528 23.0758
angles: 90.00 90.00 120.00
Space group R-3m (No. 166, hexagonal axes)
Unique sites:
Nd  0.0000  0.0000  0.2327
Nd  0.0126  0.5063  0.7675
Ge  0.0000  0.0000  0.5000
Ir  0.0000  0.5000  0.5000
Br  0.0000  0.0000  0.0000
Br  0.0000  0.5000  0.0000

Entry 22:
DFT (PBE) results for a relaxed structure of CePrSmS3.

## Properties
Calculated total energy in eV/atom: -6.5320
Formation energy (no corrections) in eV/atom: -1.896

abc: 7.028 3.948 10.565
angles: 90.00 102.44 90.00
Space group P2_1/m (No. 11)
Unique sites:
Ce  0.125  0.250  0.130
Pr  0.349  0.250  0.803
Sm  0.235  0.750  0.446
S  0.055  0.750  0.658
S  0.283  0.750  0.994
S  0.453  0.250  0.339

Entry 23:
DFT (PBE) results for a relaxed structure of AcSb2Ir.

## Properties
Excess energy over the best structure of this formula in the dataset in kJ per mole of atoms: 51.52
Calculated total energy in eV/atom: -5.4993
Formation energy (no corrections) in eV/atom: -0.196

abc: 4.631 4.631 4.739
angles: 90.00 90.00 90.00
Space group P4/mmm (No. 123)
Unique sites:
Ac  0.000  0.000  0.000
Sb  0.000  0.500  0.500
Ir  0.500  0.500  0.000